1.
Mg2AuBr: optimized geometry, PBE.

Geometry as extended XYZ:
```
4
Lattice="4.452 0.005 0.047 2.957 3.329 0.047 3.864 1.738 6.942" Properties=species:S:1:pos:R:3 pbc="T T T"
Mg 10.664 4.798 6.564
Mg 6.245 2.810 3.989
Br 2.818 1.268 1.759
Au 8.455 3.804 5.276
```

Computed properties:
Space-group type = No. 12
E_tot = -2.6552 eV/atom
ΔE to the lowest computed polymorph = 52 meV/atom
Calculated volume = 102.1 Å³/cell
ΔE_f (raw) = -0.620 eV/atom
Magnetic moment = 0.00 Bohr magnetons per cell
Crystal system = monoclinic
Theoretical density = 5.296 Mg/m³


2.
SrLiIn2Ag4: optimized geometry, PBE.

Geometry as extended XYZ:
```
8
Lattice="4.806 0.000 0.000 2.403 4.162 0.000 2.403 1.387 8.830" Properties=species:S:1:pos:R:3 pbc="T T T"
Ag 2.403 1.387 5.361
Ag 4.806 2.775 1.827
Ag 7.209 4.162 3.468
Ag 4.806 2.775 7.003
In 7.209 4.162 6.401
In 2.403 1.387 2.429
Sr 0.000 0.000 0.000
Li 4.806 2.775 4.415
```

Computed properties:
Space-group type = No. 166
Energy of formation from the pure elements = -0.230 eV per atom
E_tot = -2.7893 eV/atom
Calculated volume = 176.6 Å³/cell
Magnetic moment = 0.00 Bohr magnetons per cell
Crystal system = trigonal
Theoretical density = 7.105 Mg/m³


3.
Ce2Ni7: optimized geometry, PBE.

Geometry as extended XYZ:
```
36
Lattice="-4.754 1.112 -0.593 1.538 -2.064 4.190 4.028 22.273 9.494" Properties=species:S:1:pos:R:3 pbc="T T T"
Ni -2.699 6.152 2.577
Ni 4.174 18.843 12.079
Ni 2.014 11.136 4.747
Ni -3.361 2.477 1.013
Ni 0.471 12.053 8.651
Ni 2.129 13.859 8.932
Ni 1.133 15.726 10.218
Ni 0.342 9.268 4.441
Ni 0.000 0.000 0.000
Ni 1.339 7.406 3.157
Ni -2.593 1.446 3.106
Ni -2.033 9.824 4.144
Ni -1.317 7.462 4.159
Ni 2.845 11.497 8.947
Ni 2.742 16.202 8.418
Ni 2.795 17.539 10.501
Ni -0.320 5.595 2.874
Ni -0.987 1.922 1.309
Ni 2.077 12.528 6.854
Ni 3.511 15.169 10.514
Ni 3.406 19.875 9.986
Ni 3.353 18.543 7.904
Ni -1.929 5.119 4.674
Ni -1.982 3.782 2.591
Ni -1.264 8.793 6.238
Ni 0.675 3.730 1.590
Ni 1.799 19.399 11.783
Ni 2.689 14.866 6.337
Ce 0.145 2.888 4.255
Ce 1.333 9.459 7.057
Ce 0.062 15.083 7.408
Ce 0.668 18.433 8.836
Ce -0.521 11.862 6.035
Ce 0.751 6.238 5.684
Ce 1.250 21.655 10.210
Ce -0.438 -0.334 2.882
```

Computed properties:
Space-group type = No. 194
Energy of formation from the pure elements = -0.378 eV per atom
E_tot = -6.1932 eV/atom
Calculated volume = 514.1 Å³/cell
Magnetic moment = 0.01 Bohr magnetons per cell
Crystal system = hexagonal
Theoretical density = 8.929 Mg/m³


4.
Cr3Rh: optimized geometry, PBE.

Geometry as extended XYZ:
```
4
Lattice="8.108 -0.156 -0.091 7.704 2.530 -0.091 7.704 1.157 2.252" Properties=species:S:1:pos:R:3 pbc="T T T"
Cr 23.382 3.511 2.058
Cr 11.892 1.786 1.047
Cr 5.879 0.883 0.517
Rh 17.637 2.648 1.552
```

Computed properties:
Space-group type = No. 166
Energy of formation from the pure elements = 0.233 eV per atom
E_tot = -8.8220 eV/atom
ΔE to the lowest computed polymorph = 191 meV/atom
Calculated volume = 50.8 Å³/cell
Magnetic moment = 1.90 Bohr magnetons per cell
Crystal system = trigonal
Theoretical density = 8.455 Mg/m³